Record 1
Computed, not measured: an optimized crystal structure of Y3Cu4Si2 at the PBE-GGA level of DFT.

Lattice parameters (Å, degrees): 10.3856 4.1607 8.2196 90.00 108.66 90.00
Space group C2/m (No. 12)
Symmetry-distinct sites (fractional):
Y 0.0000 0.0000 0.0000 x2
Y 0.1652 0.5000 0.6649 x4
Cu 0.0572 0.0000 0.3866 x4
Cu 0.2177 0.5000 0.0592 x4
Si 0.1094 0.5000 0.2780 x4

Formation energy without anion corrections ... -0.52 eV/atom

=====

Record 2
Computed, not measured: an optimized crystal structure of Ag2Sn2Hg at the PBE-GGA level of DFT.

Lattice parameters (Å, degrees): 4.0171 4.0171 15.1145 90.00 90.00 90.00
Space group I4/mmm (No. 139)
Symmetry-distinct sites (fractional):
Ag 0.0000 0.5000 0.2500 x4
Sn 0.0000 0.0000 0.1043 x4
Hg 0.0000 0.0000 0.5000 x2

ΔE to the lowest computed polymorph ... 82 meV per atom
ΔE_f ... 0.15 eV/atom

=====

Record 3
Computed, not measured: an optimized crystal structure of Zr2AlSi at the PBE-GGA level of DFT.

Lattice parameters (Å, degrees): 9.6024 5.7123 9.3387 90.00 115.20 90.00
Space group Cm (No. 8)
Symmetry-distinct sites (fractional):
Zr 0.0000 0.0000 0.0000 x2
Zr 0.1240 0.2502 0.6722 x4
Zr 0.2204 0.0000 0.4381 x2
Zr 0.3642 0.2577 0.2556 x4
Al 0.1868 0.5000 0.9604 x2
Al 0.2890 0.0000 0.9635 x2
Al 0.3709 0.5000 0.6503 x2
Si 0.0687 0.5000 0.1514 x2
Si 0.1300 0.5000 0.4209 x2
Si 0.4032 0.0000 0.7543 x2

ΔE to the lowest computed polymorph ... 439 meV per atom
Formation energy without anion corrections ... -0.30 eV/atom

=====

Record 4
Computed, not measured: an optimized crystal structure of Fe2HgSb at the PBE-GGA level of DFT.

Lattice parameters (Å, degrees): 3.1113 3.1113 24.8234 90.00 90.00 120.00
Space group R-3m (No. 166, hexagonal axes)
Symmetry-distinct sites (fractional):
Fe 0.0000 0.0000 0.2465 x6
Hg 0.0000 0.0000 0.0000 x3
Sb 0.0000 0.0000 0.5000 x3

Formation energy without anion corrections ... 0.50 eV/atom

=====

Listing density for the structures above in their given order: 5.70, 8.90, 5.11, 10.39 g/cm³.
Listing calculated total energy for the structures above in their given order: -51.3, -13.3, -27.4, -19.4 eV/f.u..